Below is crystalline RbNb2Se2 at its relaxed geometry, with properties calculated at the GGA-PBE level.

formation energy from raw total energies = -11.2 meV per atom
final energy = -5.626 eV/atom
distance to the lowest polymorph of the same formula = 766 meV/atom
calculated density = 5.9 Mg/m³
spin magnetization = 0.0 μB/f.u.

Unit cell a=8.578 b=8.578 c=3.298 alpha=90.00 beta=90.00 gamma=90.00
Fractional coordinates of all 10 atoms:
1 Nb 0.903 0.597 0.000
2 Se 0.843 0.343 0.500
3 Se 0.157 0.657 0.500
4 Rb 0.500 0.500 0.000
5 Se 0.343 0.157 0.500
6 Se 0.657 0.843 0.500
7 Nb 0.097 0.403 0.000
8 Nb 0.403 0.903 0.000
9 Rb 0.000 0.000 0.000
10 Nb 0.597 0.097 0.000



Below is crystalline Te2PICl at its relaxed geometry, with properties calculated at the GGA-PBE level.

formation energy from raw total energies = 440.7 meV per atom
final energy = -2.577 eV/atom
distance to the lowest polymorph of the same formula = 0 meV/atom
calculated density = 4.9 Mg/m³
spin magnetization = 0.0 μB/f.u.

Unit cell a=5.314 b=5.314 c=5.369 alpha=90.00 beta=90.00 gamma=90.00
Fractional coordinates of all 5 atoms:
1 Cl 0.500 0.500 0.500
2 P 0.000 0.000 0.000
3 Te 0.000 0.500 0.000
4 I 0.000 0.000 0.500
5 Te 0.500 0.000 0.000



Below is crystalline Tb2Y5Er2 at its relaxed geometry, with properties calculated at the GGA-PBE level.

final energy = -5.611 eV/atom
ΔH_f (0 K) = 23 meV per atom
distance to the lowest polymorph of the same formula = 0 meV/atom
calculated density = 6.4 Mg/m³
spin magnetization = 0.0 μB/f.u.

Unit cell a=3.555 b=13.769 c=6.154 alpha=89.98 beta=106.84 gamma=97.53
Fractional coordinates of all 9 atoms:
1 Y 0.666 0.556 0.776
2 Er 0.001 0.334 0.667
3 Y 0.333 0.113 0.553
4 Y 0.000 0.000 0.000
5 Er 0.999 0.666 0.333
6 Tb 0.334 0.777 0.892
7 Y 0.334 0.444 0.224
8 Y 0.667 0.887 0.447
9 Tb 0.666 0.223 0.108



Below is crystalline PaZnSi at its relaxed geometry, with properties calculated at the GGA-PBE level.

formation energy from raw total energies = 431.2 meV per atom
final energy = -4.966 eV/atom
calculated density = 8.8 Mg/m³
spin magnetization = 0.2 μB/f.u.

Unit cell a=2.817 b=2.817 c=7.982 alpha=100.16 beta=100.16 gamma=90.00
Each line ends with the local moment (μB).
Fractional coordinates of all 3 atoms:
1 Si 0.941 0.941 0.883  0.00
2 Zn 0.783 0.783 0.567  0.00
3 Pa 0.125 0.125 0.250  0.16



Below is crystalline BaAcPb at its relaxed geometry, with properties calculated at the GGA-PBE level.

final energy = -3.696 eV/atom
ΔH_f (0 K) = -450 meV per atom
distance to the lowest polymorph of the same formula = 0 meV/atom
calculated density = 7.1 Mg/m³
spin magnetization = 0.0 μB/f.u.

Unit cell a=5.301 b=5.301 c=10.194 alpha=105.07 beta=105.07 gamma=90.00
Fractional coordinates of all 6 atoms:
1 Pb 0.126 0.126 0.253
2 Pb 0.874 0.874 0.747
3 Ac 0.500 0.000 0.000
4 Ba 0.320 0.320 0.639
5 Ac 0.000 0.500 0.000
6 Ba 0.680 0.680 0.361



Below is crystalline YB2Cl8 at its relaxed geometry, with properties calculated at the GGA-PBE level.

formation energy from raw total energies = -1133.9 meV per atom
final energy = -4.279 eV/atom
calculated density = 1.9 Mg/m³
spin magnetization = 1.0 μB/f.u.

Unit cell a=5.915 b=7.813 c=7.813 alpha=76.68 beta=82.29 gamma=82.29
Each line ends with the local moment (μB).
Fractional coordinates of all 11 atoms:
1 Cl 0.785 0.658 0.658  0.00
2 B 0.656 0.801 0.801  0.03
3 Cl 0.672 0.190 0.190  0.00
4 B 0.344 0.199 0.199  0.03
5 Cl 0.257 0.276 0.966  -0.01
6 Cl 0.743 0.034 0.724  -0.01
7 Cl 0.257 0.966 0.276  -0.01
8 Y 0.000 0.000 0.000  0.50
9 Cl 0.743 0.724 0.034  -0.01
10 Cl 0.215 0.342 0.342  0.00
11 Cl 0.328 0.810 0.810  0.00



Below is crystalline Sc5In2Ga2 at its relaxed geometry, with properties calculated at the GGA-PBE level.

final energy = -5.263 eV/atom
ΔH_f (0 K) = -464 meV per atom
calculated density = 4.9 Mg/m³
spin magnetization = 0.0 μB/f.u.

Unit cell a=7.303 b=7.233 c=8.434 alpha=90.00 beta=64.34 gamma=90.00
Fractional coordinates of all 18 atoms:
1 Sc 0.810 0.819 0.749
2 Sc 0.059 0.681 0.251
3 In 0.723 0.500 0.554
4 Ga 0.378 0.877 0.000
5 Ga 0.622 0.123 0.000
6 Ga 0.878 0.623 0.000
7 Sc 0.441 0.181 0.749
8 Sc 0.000 0.000 0.000
9 Sc 0.190 0.181 0.251
10 In 0.777 0.000 0.446
11 Ga 0.122 0.377 0.000
12 Sc 0.310 0.681 0.749
13 Sc 0.500 0.500 0.000
14 In 0.223 0.000 0.554
15 Sc 0.941 0.319 0.749
16 Sc 0.559 0.819 0.251
17 Sc 0.690 0.319 0.251
18 In 0.277 0.500 0.446



Below is crystalline Ca2Cd15Sn2 at its relaxed geometry, with properties calculated at the GGA-PBE level.

final energy = -1.471 eV/atom
ΔH_f (0 K) = -116 meV per atom
calculated density = 7.2 Mg/m³
spin magnetization = 0.0 μB/f.u.

Unit cell a=7.763 b=7.763 c=7.763 alpha=84.54 beta=84.54 gamma=84.54
Fractional coordinates of all 19 atoms:
1 Cd 0.679 0.000 0.321
2 Cd 0.321 0.679 0.000
3 Cd 0.000 0.000 0.500
4 Cd 0.349 0.826 0.349
5 Cd 0.500 0.000 0.000
6 Cd 0.000 0.500 0.000
7 Cd 0.679 0.321 0.000
8 Cd 0.826 0.349 0.349
9 Cd 0.349 0.349 0.826
10 Sn 0.102 0.102 0.102
11 Cd 0.174 0.651 0.651
12 Cd 0.651 0.174 0.651
13 Ca 0.664 0.664 0.664
14 Cd 0.000 0.321 0.679
15 Cd 0.000 0.679 0.321
16 Cd 0.651 0.651 0.174
17 Cd 0.321 0.000 0.679
18 Sn 0.898 0.898 0.898
19 Ca 0.336 0.336 0.336